1.
## Y3Cu (PBE)

Data for a relaxed Y3Cu crystal.

**DOS(E_F)**: 5.96 states/eV/f.u.
**Energy relative to the elements**: 0.24 eV/atom
**SG**: R-3m (166)

Unit cell a=3.443 b=6.113 c=6.428 alpha=121.72 beta=110.92 gamma=79.18
Fractional coordinates of all 4 atoms:
Y: 0.000 0.000 0.500
Y: 0.500 0.500 0.000
Y: 0.500 0.500 0.500
Cu: 0.000 0.000 0.000


2.
## Pa2GaSi (PBE)

Data for a relaxed Pa2GaSi crystal.

**DOS(E_F)**: 6.60 states/eV/f.u.
**SG**: P4/mmm (123)
**Formation energy (no corrections)**: -286 meV/atom

Unit cell a=3.216 b=3.216 c=8.160 alpha=90.00 beta=90.00 gamma=90.00
Fractional coordinates of all 4 atoms:
Pa: 0.000 0.000 0.760
Pa: 0.000 0.000 0.240
Ga: 0.500 0.500 0.500
Si: 0.500 0.500 0.000


3.
## LiNd2AlPt2 (PBE)

Data for a relaxed LiNd2AlPt2 crystal.

**DOS(E_F)**: 4.38 states/eV/f.u.
**Energy relative to the elements**: -0.90 eV/atom
**SG**: Ibam (72)

Unit cell a=5.871 b=5.955 c=8.471 alpha=110.58 beta=110.27 gamma=90.00
Fractional coordinates of all 12 atoms:
Nd: 0.608 0.831 0.661
Nd: 0.392 0.169 0.339
Li: 0.000 0.250 0.000
Pt: 0.840 0.118 0.235
Pt: 0.605 0.382 0.765
Nd: 0.947 0.669 0.339
Pt: 0.160 0.882 0.765
Pt: 0.395 0.618 0.235
Nd: 0.053 0.331 0.661
Li: 0.000 0.750 0.000
Al: 0.500 0.750 0.000
Al: 0.500 0.250 0.000


4.
## Sc2TaTc (PBE)

Data for a relaxed Sc2TaTc crystal.

**DOS(E_F)**: 5.50 states/eV/f.u.
**Energy relative to the elements**: 0.11 eV/atom
**SG**: C2/m (12)

Unit cell a=5.484 b=5.484 c=2.906 alpha=81.50 beta=81.50 gamma=117.91
Fractional coordinates of all 4 atoms:
Tc: 0.000 0.500 0.500
Sc: 0.000 0.000 0.000
Sc: 0.500 0.500 0.000
Ta: 0.500 0.000 0.500


5.
## ZnW2Se (PBE)

Data for a relaxed ZnW2Se crystal.

**DOS(E_F)**: 3.79 states/eV/f.u.
**SG**: Cm (8)
**Formation energy (no corrections)**: 508 meV/atom

Unit cell a=4.864 b=4.864 c=4.653 alpha=74.67 beta=74.67 gamma=36.37
Fractional coordinates of all 4 atoms:
W: 0.247 0.247 0.300
Zn: 0.502 0.502 0.458
Se: 0.745 0.745 0.778
W: 0.005 0.005 0.964


6.
## PrDy6Hg2 (PBE)

Data for a relaxed PrDy6Hg2 crystal.

**DOS(E_F)**: 9.72 states/eV/f.u.
**Energy relative to the elements**: -0.20 eV/atom
**SG**: C2/m (12)

Unit cell a=3.744 b=6.603 c=11.735 alpha=75.20 beta=80.82 gamma=73.53
Fractional coordinates of all 9 atoms:
Dy: 0.687 0.209 0.418
Dy: 0.985 0.690 0.340
Dy: 0.688 0.499 0.125
Hg: 0.349 0.083 0.218
Hg: 0.651 0.917 0.782
Dy: 0.312 0.501 0.875
Pr: 0.000 0.000 0.000
Dy: 0.015 0.310 0.660
Dy: 0.313 0.791 0.582


7.
## Al5Rh (PBE)

Data for a relaxed Al5Rh crystal.

**DOS(E_F)**: 3.47 states/eV/f.u.
**Energy relative to the elements**: 0.02 eV/atom
**SG**: F-43m (216)

Unit cell a=5.130 b=5.130 c=5.130 alpha=60.00 beta=60.00 gamma=60.00
Fractional coordinates of all 6 atoms:
Al: 0.625 0.625 0.126
Rh: 0.000 0.000 0.000
Al: 0.126 0.625 0.625
Al: 0.250 0.250 0.250
Al: 0.625 0.625 0.625
Al: 0.625 0.126 0.625


8.
## Pm5PrDy4 (PBE)

Data for a relaxed Pm5PrDy4 crystal.

**DOS(E_F)**: 15.85 states/eV/f.u.
**Energy relative to the elements**: 0.16 eV/atom
**SG**: C2/m (12)

Unit cell a=3.598 b=10.565 c=9.288 alpha=83.95 beta=101.17 gamma=90.00
Fractional coordinates of all 10 atoms:
Pm: 0.500 0.500 0.000
Dy: 0.316 0.909 0.633
Pm: 0.811 0.596 0.621
Dy: 0.954 0.759 0.908
Dy: 0.046 0.241 0.092
Dy: 0.684 0.091 0.367
Pm: 0.142 0.766 0.285
Pm: 0.858 0.234 0.715
Pm: 0.189 0.404 0.379
Pr: 0.500 0.000 0.000


9.
## TlTe2Pb (PBE)

Data for a relaxed TlTe2Pb crystal.

**DOS(E_F)**: 0.32 states/eV/f.u.
**SG**: P2/m (10)
**Formation energy (no corrections)**: -200 meV/atom

Unit cell a=4.440 b=3.355 c=9.198 alpha=74.65 beta=90.00 gamma=90.00
Fractional coordinates of all 4 atoms:
Te: 0.000 0.548 0.511
Tl: 0.500 0.250 0.250
Te: 0.000 0.952 0.989
Pb: 0.500 0.750 0.750


10.
## SrZn9Ag2 (PBE)

Data for a relaxed SrZn9Ag2 crystal.

**DOS(E_F)**: 4.34 states/eV/f.u.
**Energy relative to the elements**: -0.10 eV/atom
**SG**: R-3m (166)

Unit cell a=5.284 b=5.284 c=9.015 alpha=72.96 beta=72.96 gamma=60.00
Fractional coordinates of all 12 atoms:
Sr: 0.000 0.000 0.000
Zn: 0.918 0.410 0.263
Zn: 0.667 0.667 0.000
Ag: 0.861 0.861 0.416
Zn: 0.590 0.590 0.737
Zn: 0.590 0.082 0.737
Ag: 0.139 0.139 0.584
Zn: 0.410 0.410 0.263
Zn: 0.082 0.590 0.737
Zn: 0.500 0.500 0.500
Zn: 0.410 0.918 0.263
Zn: 0.333 0.333 0.000


11.
## Sr3Ac2PmSe6 (PBE)

Data for a relaxed Sr3Ac2PmSe6 crystal.

**DOS(E_F)**: 4.50 states/eV/f.u.
**SG**: C2/m (12)
**Formation energy (no corrections)**: -1926 meV/atom

Unit cell a=4.381 b=8.866 c=9.899 alpha=104.01 beta=102.79 gamma=90.00
Fractional coordinates of all 12 atoms:
Sr: 0.500 0.500 0.000
Se: 0.333 0.415 0.667
Ac: 0.164 0.328 0.327
Se: 0.667 0.585 0.333
Pm: 0.500 0.000 0.000
Se: 0.002 0.760 0.005
Se: 0.337 0.923 0.673
Se: 0.998 0.240 0.995
Sr: 0.833 0.166 0.666
Sr: 0.167 0.834 0.334
Se: 0.663 0.077 0.327
Ac: 0.836 0.672 0.673


12.
## KCuOs3 (PBE)

Data for a relaxed KCuOs3 crystal.

**DOS(E_F)**: 6.77 states/eV/f.u.
**Energy relative to the elements**: 3.99 eV/atom
**SG**: Pm-3m (221)

Unit cell a=4.569 b=4.569 c=4.569 alpha=90.00 beta=90.00 gamma=90.00
Site moments in Bohr magnetons follow the coordinates.
Fractional coordinates of all 5 atoms:
Os: 0.500 0.000 0.000  0.89
Os: 0.000 0.000 0.500  0.70
Cu: 0.500 0.500 0.500  0.15
K: 0.000 0.000 0.000  0.01
Os: 0.000 0.500 0.000  0.84


13.
## CrCuRu4 (PBE)

Data for a relaxed CrCuRu4 crystal.

**DOS(E_F)**: 7.27 states/eV/f.u.
**Energy relative to the elements**: 0.61 eV/atom
**SG**: F-43m (216)

Unit cell a=5.054 b=5.054 c=5.054 alpha=60.00 beta=60.00 gamma=60.00
Site moments in Bohr magnetons follow the coordinates.
Fractional coordinates of all 6 atoms:
Cu: 0.000 0.000 0.000  -0.11
Cr: 0.250 0.250 0.250  2.87
Ru: 0.625 0.625 0.625  -0.78
Ru: 0.625 0.625 0.124  -0.78
Ru: 0.124 0.625 0.625  -0.78
Ru: 0.625 0.124 0.625  -0.78


14.
## SmFe4As12 (PBE)

Data for a relaxed SmFe4As12 crystal.

**DOS(E_F)**: 15.35 states/eV/f.u.
**Energy relative to the elements**: -0.37 eV/atom
**SG**: Im-3 (204)

Unit cell a=7.230 b=7.230 c=7.230 alpha=109.47 beta=109.47 gamma=109.47
Site moments in Bohr magnetons follow the coordinates.
Fractional coordinates of all 17 atoms:
As: 0.156 0.342 0.498  -0.01
Fe: 0.000 0.000 0.500  0.30
Sm: 0.000 0.000 0.000  -0.04
As: 0.186 0.844 0.342  -0.01
As: 0.658 0.502 0.844  -0.01
Fe: 0.500 0.000 0.000  0.30
As: 0.498 0.156 0.342  -0.01
Fe: 0.500 0.500 0.500  0.30
As: 0.502 0.844 0.658  -0.01
As: 0.844 0.658 0.502  -0.01
Fe: 0.000 0.500 0.000  0.30
As: 0.814 0.156 0.658  -0.01
As: 0.342 0.186 0.844  -0.01
As: 0.658 0.814 0.156  -0.01
As: 0.342 0.498 0.156  -0.01
As: 0.844 0.342 0.186  -0.01
As: 0.156 0.658 0.814  -0.01


15.
## NdAl4Zn2Pt (PBE)

Data for a relaxed NdAl4Zn2Pt crystal.

**DOS(E_F)**: 2.24 states/eV/f.u.
**Energy relative to the elements**: -0.47 eV/atom
**SG**: R-3m (166)

Unit cell a=4.331 b=4.331 c=9.529 alpha=76.86 beta=76.86 gamma=60.00
Fractional coordinates of all 8 atoms:
Pt: 0.500 0.500 0.500
Zn: 0.733 0.733 0.800
Al: 0.592 0.592 0.225
Zn: 0.267 0.267 0.200
Al: 0.134 0.134 0.597
Nd: 0.000 0.000 0.000
Al: 0.408 0.408 0.775
Al: 0.866 0.866 0.403


16.
## Tm4GaGeTe2 (PBE)

Data for a relaxed Tm4GaGeTe2 crystal.

**DOS(E_F)**: 3.68 states/eV/f.u.
**SG**: P2/m (10)
**Formation energy (no corrections)**: -986 meV/atom

Unit cell a=4.158 b=7.122 c=7.575 alpha=108.57 beta=90.00 gamma=90.00
Fractional coordinates of all 8 atoms:
Tm: 0.000 0.744 0.227
Ga: 0.500 0.500 0.000
Tm: 0.000 0.256 0.773
Te: 0.000 0.500 0.500
Ge: 0.000 0.000 0.000
Tm: 0.500 0.762 0.778
Tm: 0.500 0.238 0.222
Te: 0.500 0.000 0.500


17.
## LiSmLuAl (PBE)

Data for a relaxed LiSmLuAl crystal.

**DOS(E_F)**: 3.78 states/eV/f.u.
**Energy relative to the elements**: -0.20 eV/atom
**SG**: F-43m (216)

Unit cell a=5.152 b=5.152 c=5.152 alpha=60.00 beta=60.00 gamma=60.00
Fractional coordinates of all 4 atoms:
Al: 0.500 0.500 0.500
Li: 0.000 0.000 0.000
Lu: 0.250 0.250 0.250
Sm: 0.750 0.750 0.750


18.
## ScAl2Si (PBE)

Data for a relaxed ScAl2Si crystal.

**DOS(E_F)**: 3.19 states/eV/f.u.
**SG**: R-3m (166)
**Formation energy (no corrections)**: 2 meV/atom

Unit cell a=8.930 b=8.930 c=8.930 alpha=20.10 beta=20.10 gamma=20.10
Fractional coordinates of all 4 atoms:
Si: 0.750 0.750 0.750
Al: 0.492 0.492 0.492
Al: 0.008 0.008 0.008
Sc: 0.250 0.250 0.250


19.
## Rb2ReGeW (PBE)

Data for a relaxed Rb2ReGeW crystal.

**DOS(E_F)**: 7.14 states/eV/f.u.
**Energy relative to the elements**: 1.98 eV/atom
**SG**: P4/mmm (123)

Unit cell a=6.759 b=4.593 c=6.759 alpha=90.00 beta=90.00 gamma=90.00
Site moments in Bohr magnetons follow the coordinates.
Fractional coordinates of all 5 atoms:
Re: 0.000 0.000 0.000  0.14
Rb: 0.500 0.000 0.000  0.01
Ge: 0.500 0.500 0.500  0.42
Rb: 0.000 0.000 0.500  0.01
W: 0.000 0.500 0.000  -0.04


20.
## Na3Ti3VTe8 (PBE)

Data for a relaxed Na3Ti3VTe8 crystal.

**DOS(E_F)**: 5.00 states/eV/f.u.
**SG**: R-3m (166)
**Formation energy (no corrections)**: -709 meV/atom

Unit cell a=7.801 b=7.802 c=9.117 alpha=115.34 beta=90.00 gamma=120.00
Site moments in Bohr magnetons follow the coordinates.
Fractional coordinates of all 15 atoms:
Te: 0.263 0.525 0.289  -0.04
Te: 0.737 0.475 0.711  -0.04
V: 0.000 0.000 0.500  2.02
Te: 0.764 0.527 0.290  -0.05
Na: 0.500 0.500 0.000  0.00
Te: 0.262 0.026 0.290  -0.05
Na: 0.000 0.500 0.000  0.00
Ti: 0.000 0.500 0.500  0.42
Te: 0.237 0.974 0.710  -0.05
Ti: 0.500 0.000 0.500  0.42
Ti: 0.500 0.500 0.500  0.42
Te: 0.763 0.026 0.290  -0.05
Te: 0.236 0.473 0.710  -0.05
Te: 0.738 0.974 0.710  -0.05
Na: 0.000 0.000 0.000  0.00


| no. | calculated volume (Å³/atom) |
| --- | --- |
| 1 | 26.875 |
| 2 | 21.105 |
| 3 | 21.463 |
| 4 | 18.495 |
| 5 | 15.677 |
| 6 | 29.749 |
| 7 | 15.909 |
| 8 | 34.436 |
| 9 | 33.027 |
| 10 | 17.092 |
| 11 | 30.269 |
| 12 | 19.072 |
| 13 | 15.214 |
| 14 | 17.111 |
| 15 | 18.673 |
| 16 | 26.578 |
| 17 | 24.170 |
| 18 | 18.390 |
| 19 | 41.964 |
| 20 | 27.848 |